## CaSe2O5 (SCAN)

Data for a crystal of CaSe2O5 relaxed with PBEsol.

Geometry as POSCAR:
```
CaSe2O5
1.0
-2.283 4.210 4.230
-7.771 2.087 -6.272
-7.859 -10.526 6.235
O Ca Se
40 8 16
direct
0.757 0.309 0.678 O
0.714 0.514 0.291 O
0.592 0.675 0.978 O
0.286 0.986 0.791 O
0.246 0.724 0.136 O
0.754 0.276 0.864 O
0.246 0.224 0.364 O
0.618 0.057 0.934 O
0.408 0.825 0.478 O
0.382 0.443 0.434 O
0.786 0.514 0.791 O
0.757 0.809 0.822 O
0.882 0.557 0.066 O
0.257 0.191 0.678 O
0.786 0.014 0.709 O
0.118 0.443 0.934 O
0.714 0.014 0.209 O
0.908 0.175 0.022 O
0.286 0.486 0.709 O
0.243 0.691 0.322 O
0.743 0.809 0.322 O
0.118 0.943 0.566 O
0.092 0.325 0.522 O
0.092 0.825 0.978 O
0.408 0.325 0.022 O
0.746 0.276 0.364 O
0.882 0.057 0.434 O
0.254 0.224 0.864 O
0.908 0.675 0.478 O
0.754 0.776 0.636 O
0.214 0.486 0.209 O
0.592 0.175 0.522 O
0.382 0.943 0.066 O
0.254 0.724 0.636 O
0.257 0.691 0.822 O
0.746 0.776 0.136 O
0.214 0.986 0.291 O
0.618 0.557 0.566 O
0.743 0.309 0.178 O
0.243 0.191 0.178 O
0.442 0.359 0.592 Ca
0.558 0.641 0.408 Ca
0.058 0.359 0.092 Ca
0.442 0.859 0.908 Ca
0.942 0.141 0.592 Ca
0.942 0.641 0.908 Ca
0.558 0.141 0.092 Ca
0.058 0.859 0.408 Ca
0.105 0.133 0.269 Se
0.143 0.377 0.413 Se
0.357 0.877 0.587 Se
0.895 0.367 0.769 Se
0.643 0.123 0.413 Se
0.895 0.867 0.731 Se
0.643 0.623 0.087 Se
0.605 0.367 0.269 Se
0.105 0.633 0.231 Se
0.395 0.633 0.731 Se
0.143 0.877 0.087 Se
0.357 0.377 0.913 Se
0.857 0.123 0.913 Se
0.857 0.623 0.587 Se
0.605 0.867 0.231 Se
0.395 0.133 0.769 Se
```

Summary:
magnetic moment	0.00	μB/cell
volume	947.9	Å³ per cell
Fermi-level density of states	0.000	states/eV per cell
total DFT energy (no corrections)	-11.7471	eV per atom
space-group type	Pbca

## Ca3SiO5 (SCAN)

Data for a crystal of Ca3SiO5 relaxed with PBEsol.

Geometry as POSCAR:
```
Ca3SiO5
1.0
7.042 0.020 0.022
3.479 6.123 0.022
3.460 2.020 8.263
Ca O Si
9 15 3
direct
0.271 0.271 0.700 Ca
0.002 0.525 0.009 Ca
0.241 0.718 0.297 Ca
0.259 0.754 0.658 Ca
0.538 0.538 0.966 Ca
0.686 0.686 0.349 Ca
0.754 0.259 0.658 Ca
0.718 0.241 0.297 Ca
0.525 0.002 0.009 Ca
0.390 0.390 0.872 O
0.891 0.266 0.992 O
0.607 0.988 0.742 O
0.472 0.472 0.504 O
0.356 0.976 0.296 O
0.887 0.887 0.197 O
0.266 0.891 0.992 O
0.936 0.936 0.881 O
0.988 0.607 0.742 O
0.922 0.922 0.478 O
0.633 0.633 0.135 O
0.976 0.356 0.296 O
0.663 0.663 0.625 O
0.367 0.367 0.250 O
0.162 0.162 0.549 O
0.995 0.995 0.012 Si
0.216 0.216 0.349 Si
0.793 0.793 0.644 Si
```

Summary:
magnetic moment	0.00	μB/cell
volume	355.1	Å³ per cell
Fermi-level density of states	0.000	states/eV per cell
total DFT energy (no corrections)	-11.0670	eV per atom
relative energy among the computed polymorphs	0.000	eV per atom
space-group type	Cm

## CaSiO3 (SCAN)

Data for a crystal of CaSiO3 relaxed with PBEsol.

Geometry as POSCAR:
```
CaSiO3
1.0
6.641 -0.010 0.011
1.629 6.488 -0.022
1.034 3.096 8.688
O Ca Si
18 6 6
direct
0.755 0.097 0.388 O
0.857 0.889 0.736 O
0.588 0.616 0.593 O
0.865 0.993 0.137 O
0.127 0.598 0.061 O
0.245 0.903 0.612 O
0.613 0.155 0.905 O
0.873 0.402 0.939 O
0.047 0.728 0.405 O
0.143 0.111 0.264 O
0.544 0.310 0.135 O
0.387 0.845 0.095 O
0.456 0.690 0.865 O
0.412 0.384 0.407 O
0.135 0.007 0.863 O
0.953 0.272 0.595 O
0.266 0.469 0.744 O
0.734 0.531 0.256 O
0.238 0.255 0.001 Ca
0.411 0.766 0.353 Ca
0.926 0.579 0.664 Ca
0.762 0.745 0.999 Ca
0.074 0.421 0.336 Ca
0.589 0.234 0.647 Ca
0.270 0.774 0.984 Si
0.730 0.226 0.016 Si
0.041 0.023 0.698 Si
0.392 0.661 0.706 Si
0.959 0.977 0.302 Si
0.608 0.339 0.294 Si
```

Summary:
magnetic moment	0.00	μB/cell
volume	374.9	Å³ per cell
Fermi-level density of states	0.000	states/eV per cell
total DFT energy (no corrections)	-10.9602	eV per atom
space-group type	P-1

## CaSiO3 (SCAN)

Data for a crystal of CaSiO3 relaxed with PBEsol.

Geometry as POSCAR:
```
CaSiO3
1.0
-4.952 2.316 2.265
-3.680 -5.705 -2.214
3.013 -3.942 10.617
O Si Ca
24 8 8
direct
0.562 0.731 0.045 O
0.119 0.660 0.048 O
0.172 0.316 0.745 O
0.672 0.184 0.755 O
0.388 0.464 0.163 O
0.888 0.036 0.337 O
0.881 0.340 0.952 O
0.332 0.638 0.595 O
0.381 0.160 0.548 O
0.619 0.840 0.452 O
0.062 0.769 0.455 O
0.629 0.160 0.150 O
0.828 0.684 0.255 O
0.871 0.660 0.650 O
0.832 0.862 0.905 O
0.112 0.964 0.663 O
0.371 0.840 0.850 O
0.438 0.269 0.955 O
0.668 0.362 0.405 O
0.328 0.816 0.245 O
0.938 0.231 0.545 O
0.129 0.340 0.350 O
0.168 0.138 0.095 O
0.612 0.536 0.837 O
0.411 0.242 0.093 Si
0.089 0.742 0.593 Si
0.911 0.258 0.407 Si
0.345 0.680 0.125 Si
0.655 0.320 0.875 Si
0.589 0.758 0.907 Si
0.845 0.820 0.375 Si
0.155 0.180 0.625 Si
0.893 0.910 0.125 Ca
0.574 0.906 0.649 Ca
0.393 0.590 0.375 Ca
0.607 0.410 0.625 Ca
0.107 0.090 0.875 Ca
0.926 0.406 0.149 Ca
0.426 0.094 0.351 Ca
0.074 0.594 0.851 Ca
```

Summary:
magnetic moment	0.00	μB/cell
volume	490.0	Å³ per cell
Fermi-level density of states	0.000	states/eV per cell
total DFT energy (no corrections)	-10.9462	eV per atom
space-group type	P2_1/c

## Ca5Si6O18 (SCAN)

Data for a crystal of Ca5Si6O18 relaxed with PBEsol.

Geometry as POSCAR:
```
Ca5Si6O18
1.0
6.713 -0.043 0.242
-2.698 6.160 -0.284
-1.079 -1.422 9.267
O Si Ca
18 6 5
direct
0.850 0.213 0.615 O
0.315 0.377 0.855 O
0.685 0.622 0.142 O
0.152 0.789 0.385 O
0.805 0.595 0.630 O
0.451 0.862 0.117 O
0.535 0.756 0.376 O
0.553 0.139 0.883 O
0.949 0.363 0.116 O
0.198 0.134 0.136 O
0.807 0.870 0.868 O
0.858 0.032 0.274 O
0.649 0.295 0.385 O
0.182 0.394 0.376 O
0.141 0.967 0.725 O
0.452 0.231 0.619 O
0.055 0.642 0.883 O
0.343 0.699 0.615 O
0.946 0.759 0.783 Si
0.052 0.241 0.215 Si
0.619 0.809 0.221 Si
0.382 0.189 0.782 Si
0.299 0.667 0.441 Si
0.697 0.329 0.559 Si
0.064 0.065 0.499 Ca
0.566 0.254 0.137 Ca
0.437 0.745 0.863 Ca
0.064 0.751 0.131 Ca
0.936 0.251 0.867 Ca
```

Summary:
magnetic moment	2.09	μB/cell
volume	382.0	Å³ per cell
Fermi-level density of states	8.787	states/eV per cell
total DFT energy (no corrections)	-10.6542	eV per atom
space-group type	P1

## Ca3SiO5 (SCAN)

Data for a crystal of Ca3SiO5 relaxed with PBEsol.

Geometry as POSCAR:
```
Ca3SiO5
1.0
7.082 0.000 0.000
3.541 6.133 0.000
3.541 2.044 8.544
Ca O Si
9 15 3
direct
0.759 0.281 0.679 Ca
0.281 0.281 0.679 Ca
0.984 0.502 0.012 Ca
0.710 0.710 0.322 Ca
0.502 0.502 0.012 Ca
0.502 0.984 0.012 Ca
0.710 0.258 0.322 Ca
0.281 0.759 0.679 Ca
0.258 0.710 0.322 Ca
0.635 0.013 0.717 O
0.853 0.232 0.062 O
0.616 0.616 0.151 O
0.013 0.635 0.717 O
0.063 0.063 0.812 O
0.849 0.849 0.453 O
0.635 0.635 0.717 O
0.988 0.366 0.279 O
0.498 0.498 0.507 O
0.369 0.369 0.892 O
0.232 0.853 0.062 O
0.156 0.156 0.532 O
0.853 0.853 0.062 O
0.366 0.366 0.279 O
0.366 0.988 0.279 O
0.219 0.219 0.342 Si
0.999 0.999 0.002 Si
0.784 0.784 0.649 Si
```

Summary:
magnetic moment	0.09	μB/cell
volume	371.1	Å³ per cell
Fermi-level density of states	0.000	states/eV per cell
total DFT energy (no corrections)	-11.0582	eV per atom
relative energy among the computed polymorphs	0.009	eV per atom
space-group type	R3m

## Ca3Si2SnO9 (SCAN)

Data for a crystal of Ca3Si2SnO9 relaxed with PBEsol.

Geometry as POSCAR:
```
Ca3Si2SnO9
1.0
7.338 0.000 0.001
0.000 10.074 0.000
-0.216 0.000 10.404
O Si Ca Sn
36 8 12 4
direct
0.384 0.892 0.732 O
0.303 0.998 0.263 O
0.909 0.617 0.491 O
0.616 0.392 0.768 O
0.146 0.607 0.031 O
0.303 0.502 0.763 O
0.647 0.732 0.780 O
0.384 0.608 0.232 O
0.146 0.893 0.531 O
0.697 0.002 0.737 O
0.380 0.170 0.456 O
0.898 0.269 0.261 O
0.085 0.496 0.259 O
0.091 0.383 0.509 O
0.341 0.610 0.517 O
0.659 0.110 0.983 O
0.102 0.769 0.239 O
0.659 0.390 0.483 O
0.647 0.768 0.280 O
0.353 0.232 0.720 O
0.620 0.830 0.544 O
0.915 0.504 0.741 O
0.915 0.996 0.241 O
0.898 0.231 0.761 O
0.854 0.107 0.469 O
0.620 0.670 0.044 O
0.085 0.004 0.759 O
0.854 0.393 0.969 O
0.102 0.731 0.739 O
0.380 0.330 0.956 O
0.341 0.890 0.017 O
0.091 0.117 0.009 O
0.909 0.883 0.991 O
0.353 0.268 0.220 O
0.616 0.108 0.268 O
0.697 0.498 0.237 O
0.600 0.863 0.695 Si
0.167 0.875 0.684 Si
0.400 0.137 0.305 Si
0.833 0.375 0.816 Si
0.400 0.363 0.805 Si
0.600 0.637 0.195 Si
0.833 0.125 0.316 Si
0.167 0.625 0.184 Si
0.637 0.920 0.110 Ca
0.627 0.304 0.097 Ca
0.363 0.420 0.390 Ca
0.373 0.804 0.403 Ca
0.882 0.835 0.416 Ca
0.373 0.696 0.903 Ca
0.118 0.165 0.584 Ca
0.637 0.580 0.610 Ca
0.627 0.196 0.597 Ca
0.363 0.080 0.890 Ca
0.118 0.335 0.084 Ca
0.882 0.665 0.916 Ca
0.880 0.060 0.883 Sn
0.120 0.940 0.117 Sn
0.880 0.440 0.383 Sn
0.120 0.560 0.617 Sn
```

Summary:
magnetic moment	0.01	μB/cell
volume	769.1	Å³ per cell
Fermi-level density of states	0.000	states/eV per cell
total DFT energy (no corrections)	-12.4385	eV per atom
space-group type	P2_1/c

## CaTiSi2O (SCAN)

Data for a crystal of CaTiSi2O relaxed with PBEsol.

Geometry as POSCAR:
```
CaTiSi2O
1.0
-1.127 3.425 -2.809
-4.068 -1.947 -0.743
-2.334 3.084 4.697
Ca Ti O Si
1 1 1 2
direct
0.000 0.000 0.500 Ca
0.000 0.000 0.000 Ti
0.500 0.500 0.500 O
0.000 0.500 0.000 Si
0.500 0.000 0.000 Si
```

Summary:
magnetic moment	2.02	μB/cell
volume	127.1	Å³ per cell
Fermi-level density of states	2.852	states/eV per cell
total DFT energy (no corrections)	-9.7531	eV per atom
space-group type	P4/mmm